[1]
Material: CaLaDy2In4
Method: DFT, PBE
State: optimized geometry

abc: 5.4063 5.4063 26.7614
angles: 90.00 90.00 120.00
With the nearest neighbours (Å) after each atom.
Space group R-3m (No. 166, hexagonal axes)
Symmetry-distinct sites (fractional):
Ca (0.0000, 0.0000, 0.0000) (multiplicity 3)  8 In 3.30-3.32
La (0.0000, 0.0000, 0.5000) (multiplicity 3)  8 In 3.32-3.37
Dy (0.0000, 0.0000, 0.2520) (multiplicity 6)  8 In 3.26-3.43
In (0.0000, 0.0000, 0.1239) (multiplicity 6)  1 Ca 3.32, 4 Dy 3.32-3.43, 3 La 3.32
In (0.0000, 0.0000, 0.3739) (multiplicity 6)  4 Dy 3.26-3.31, 3 Ca 3.30, 1 La 3.37

Calculated values
Formation enthalpy at 0 K = -0.467 eV/atom
Total moment = 0.00 μB per formula unit
Total DFT energy (no corrections) = -0.14158 hartree per atom
Calculated density = 7.084 g/cm³


[2]
Material: Li2CaDy2In2
Method: DFT, PBE
State: optimized geometry

abc: 4.9144 4.9144 27.0566
angles: 90.00 90.00 120.00
With the nearest neighbours (Å) after each atom.
Space group R-3m (No. 166, hexagonal axes)
Symmetry-distinct sites (fractional):
Li (0.0000, 0.0000, 0.1015) (multiplicity 6)  3 In 2.86
Ca (0.0000, 0.0000, 0.5000) (multiplicity 3)  6 Li 3.34, 2 Dy 3.50, 6 In 3.53
Dy (0.0000, 0.0000, 0.3707) (multiplicity 6)  4 In 3.16-3.41, 3 Li 3.33, 3 Dy 3.48, 1 Ca 3.50
In (0.0000, 0.0000, 0.2446) (multiplicity 6)  3 Li 2.86, 3 Dy 3.16

Calculated values
Formation enthalpy at 0 K = -0.214 eV/atom
Total moment = 0.00 μB per formula unit
Total DFT energy (no corrections) = -0.11555 hartree per atom
Calculated density = 5.358 g/cm³


[3]
Material: LiCaDy2In4
Method: DFT, PBE
State: optimized geometry

abc: 5.2520 5.2520 25.9754
angles: 90.00 90.00 120.00
With the nearest neighbours (Å) after each atom.
Space group R-3m (No. 166, hexagonal axes)
Symmetry-distinct sites (fractional):
Li (0.0000, 0.0000, 0.0000) (multiplicity 3)  8 In 3.15-3.20
Ca (0.0000, 0.0000, 0.5000) (multiplicity 3)  8 In 3.25-3.31
Dy (0.0000, 0.0000, 0.2521) (multiplicity 6)  8 In 3.13-3.40
In (0.0000, 0.0000, 0.1214) (multiplicity 6)  1 Li 3.15, 4 Dy 3.21-3.40, 3 Ca 3.25
In (0.0000, 0.0000, 0.3726) (multiplicity 6)  4 Dy 3.13-3.22, 3 Li 3.20, 1 Ca 3.31

Calculated values
Formation enthalpy at 0 K = -0.396 eV/atom
Total moment = 0.00 μB per formula unit
Total DFT energy (no corrections) = -0.12514 hartree per atom
Calculated density = 6.674 g/cm³


[4]
Material: Li2Ca2DyIn2
Method: DFT, PBE
State: optimized geometry

abc: 4.9632 4.9632 27.2479
angles: 90.00 90.00 120.00
With the nearest neighbours (Å) after each atom.
Space group R-3m (No. 166, hexagonal axes)
Symmetry-distinct sites (fractional):
Li (0.0000, 0.0000, 0.1118) (multiplicity 6)  3 In 2.87
Ca (0.0000, 0.0000, 0.3753) (multiplicity 6)  3 In 3.32, 1 Dy 3.40, 3 Li 3.44, 3 Ca 3.67
Dy (0.0000, 0.0000, 0.5000) (multiplicity 3)  6 Li 3.23, 6 In 3.35, 2 Ca 3.40
In (0.0000, 0.0000, 0.2301) (multiplicity 6)  3 Li 2.87

Calculated values
Formation enthalpy at 0 K = -0.259 eV/atom
Total moment = 0.00 μB per formula unit
Total DFT energy (no corrections) = -0.10356 hartree per atom
Calculated density = 4.166 g/cm³


[5]
Material: CaDyLuIn
Method: DFT, PBE
State: optimized geometry

abc: 7.7103 7.7103 7.7103
angles: 90.00 90.00 90.00
With the nearest neighbours (Å) after each atom.
Space group F-43m (No. 216)
Symmetry-distinct sites (fractional):
Ca (0.0000, 0.0000, 0.0000) (multiplicity 4)  4 Dy 3.34, 4 Lu 3.34
Dy (0.2500, 0.2500, 0.2500) (multiplicity 4)  4 In 3.34, 4 Ca 3.34
Lu (0.2500, 0.2500, 0.7500) (multiplicity 4)  4 In 3.34, 4 Ca 3.34
In (0.0000, 0.0000, 0.5000) (multiplicity 4)  4 Dy 3.34, 4 Lu 3.34

Calculated values
Formation enthalpy at 0 K = -0.101 eV/atom
Total moment = 0.00 μB per formula unit
Total DFT energy (no corrections) = -0.13106 hartree per atom
Calculated density = 7.135 g/cm³


[6]
Material: CaDy2InN
Method: DFT, PBE
State: optimized geometry

abc: 4.8387 4.8387 4.8732
angles: 90.00 90.00 90.00
With the nearest neighbours (Å) after each atom.
Space group P4/mmm (No. 123)
Symmetry-distinct sites (fractional):
Ca (0.0000, 0.0000, 0.0000) (multiplicity 1)  2 N 2.44
Dy (0.0000, 0.5000, 0.5000) (multiplicity 2)  2 N 2.42
In (0.5000, 0.5000, 0.0000) (multiplicity 1)  4 Ca 3.42, 8 Dy 3.43
N (0.0000, 0.0000, 0.5000) (multiplicity 1)  4 Dy 2.42, 2 Ca 2.44

Calculated values
Total moment = 0.00 μB per formula unit
Raw formation energy = -0.916 eV/atom
Total DFT energy (no corrections) = -0.19735 hartree per atom
Calculated density = 7.188 g/cm³


[7]
Material: NaCaDyIn
Method: DFT, PBE
State: optimized geometry

abc: 7.7501 7.7501 7.7501
angles: 90.00 90.00 90.00
With the nearest neighbours (Å) after each atom.
Space group F-43m (No. 216)
Symmetry-distinct sites (fractional):
Na (0.0000, 0.0000, 0.0000) (multiplicity 4)  4 Dy 3.36, 4 Ca 3.36
Ca (0.2500, 0.2500, 0.2500) (multiplicity 4)  4 In 3.36, 4 Na 3.36
Dy (0.2500, 0.2500, 0.7500) (multiplicity 4)  4 In 3.36, 4 Na 3.36
In (0.0000, 0.0000, 0.5000) (multiplicity 4)  4 Dy 3.36, 4 Ca 3.36

Calculated values
Formation enthalpy at 0 K = -0.159 eV/atom
Total moment = 0.00 μB per formula unit
Total DFT energy (no corrections) = -0.10381 hartree per atom
Calculated density = 4.857 g/cm³


[8]
Material: CaDy2InO
Method: DFT, PBE
State: optimized geometry

abc: 4.7920 4.7920 4.8342
angles: 90.00 90.00 90.00
With the nearest neighbours (Å) after each atom.
Space group P4/mmm (No. 123)
Symmetry-distinct sites (fractional):
Ca (0.0000, 0.0000, 0.0000) (multiplicity 1)  2 O 2.42
Dy (0.0000, 0.5000, 0.5000) (multiplicity 2)  2 O 2.40
In (0.5000, 0.5000, 0.0000) (multiplicity 1)  4 Ca 3.39, 8 Dy 3.40
O (0.0000, 0.0000, 0.5000) (multiplicity 1)  4 Dy 2.40, 2 Ca 2.42

Calculated values
Total moment = 0.00 μB per formula unit
Raw formation energy = -1.415 eV/atom
Total DFT energy (no corrections) = -0.19094 hartree per atom
Calculated density = 7.418 g/cm³